First-principles (GGA+U) data for a geometry-optimized RbCdCoF6 structure, as listed in Alexandria.

a b c (Å): 7.262 7.262 7.262
angles (deg): 119.53 117.41 92.69
Fractional positions:
Rb 0.351 0.101 0.250
Rb 0.649 0.899 0.750
Cd 0.000 0.500 0.500
Cd 0.500 0.500 0.000
Co 0.000 0.000 0.500
Co 0.000 0.500 0.000
F 0.044 0.345 0.149
F 0.044 0.896 0.699
F 0.052 0.302 0.750
F 0.303 0.104 0.649
F 0.303 0.655 0.199
F 0.361 0.611 0.750
F 0.639 0.389 0.250
F 0.697 0.345 0.801
F 0.697 0.896 0.351
F 0.948 0.698 0.250
F 0.956 0.104 0.301
F 0.956 0.655 0.851

Calculated values
DOS(E_F) (states/eV/atom): 0.000
Theoretical density (Mg/m³): 4.452
Total moment (μB/atom): 0.009
Raw total energy (eV/cell): -76.150
Symmetry: Imma (74)